{"formula": "La3Pr8Tl", "functional": "PBE-GGA", "state": "optimized geometry", "spacegroup": "I-42m (121)", "delta_e_f_ev_per_atom": 0.3830, "cell": [[-6.216, 1.709, 5.665], [-0.559, -7.260, -4.542], [7.807, -1.894, 3.019]], "species": ["La", "La", "La", "Pr", "Pr", "Pr", "Pr", "Pr", "Pr", "Pr", "Pr", "Tl"], "frac_coords": [[0.500, 0.750, 0.250], [0.500, 0.250, 0.750], [0.000, 0.500, 0.500], [0.507, 0.265, 0.265], [0.493, 0.759, 0.759], [0.000, 0.735, 0.241], [0.000, 0.241, 0.735], [0.251, 0.378, 0.378], [0.749, 0.126, 0.126], [0.000, 0.622, 0.874], [0.000, 0.874, 0.622], [0.000, 0.000, 0.000]]}

{"formula": "Tb8Er6In", "functional": "PBE-GGA", "state": "optimized geometry", "spacegroup": "R-3 (148)", "e_above_lowest_polymorph_ev_per_atom": 0.000, "delta_e_f_ev_per_atom": 0.0275, "cell": [[8.927, 0.000, 0.000], [4.463, 7.731, 0.000], [4.463, 2.577, 6.735]], "species": ["Tb", "Tb", "Tb", "Tb", "Tb", "Tb", "Tb", "Tb", "Er", "Er", "Er", "Er", "Er", "Er", "In"], "frac_coords": [[0.248, 0.286, 0.574], [0.714, 0.108, 0.426], [0.108, 0.752, 0.426], [0.576, 0.576, 0.272], [0.424, 0.424, 0.728], [0.892, 0.248, 0.574], [0.286, 0.892, 0.574], [0.752, 0.714, 0.426], [0.450, 0.897, 0.889], [0.103, 0.236, 0.111], [0.236, 0.550, 0.111], [0.764, 0.450, 0.889], [0.897, 0.764, 0.889], [0.550, 0.103, 0.111], [0.000, 0.000, 0.000]]}

{"formula": "Na2PbAuF8", "functional": "PBE-GGA", "state": "optimized geometry", "spacegroup": "P-1 (2)", "formation_energy_uncorrected_ev_per_atom": -1.9950, "cell": [[3.852, -0.130, 0.037], [-0.077, 5.348, 0.216], [0.073, 0.281, 9.067]], "species": ["Na", "Na", "Pb", "Au", "F", "F", "F", "F", "F", "F", "F", "F"], "frac_coords": [[0.509, 0.517, 0.735], [0.491, 0.483, 0.265], [0.000, 0.000, 0.000], [0.000, 0.000, 0.500], [0.008, 0.694, 0.178], [0.497, 0.805, 0.921], [0.954, 0.197, 0.310], [0.992, 0.306, 0.822], [0.503, 0.195, 0.079], [0.046, 0.803, 0.690], [0.632, 0.745, 0.462], [0.368, 0.255, 0.538]]}

{"formula": "Ti2BeIrN", "functional": "PBE-GGA", "state": "optimized geometry", "spacegroup": "P4/mmm (123)", "formation_energy_uncorrected_ev_per_atom": -0.9737, "cell": [[-0.645, -3.930, -1.415], [1.964, -1.549, 3.407], [-2.906, -0.108, 1.626]], "species": ["Be", "N", "Ir", "Ti", "Ti"], "frac_coords": [[0.000, 0.000, 0.500], [0.000, 0.000, 0.000], [0.500, 0.500, 0.500], [0.000, 0.500, 0.000], [0.500, 0.000, 0.000]]}